Entry 1:
{
  "formula": "Li3ZrAu4",
  "functional": "PBE",
  "state": "relaxed",
  "lattice": [[-0.707, 3.117, 0.450], [-0.005, -0.462, 3.194], [12.371, 2.747, 0.417]],
  "species": ["Au", "Au", "Au", "Au", "Zr", "Li", "Li", "Li"],
  "fractional_positions": [[0.000, 0.000, 0.850], [0.000, 0.000, 0.150], [0.000, 0.000, 0.384], [0.000, 0.000, 0.616], [0.500, 0.500, 0.000], [0.500, 0.500, 0.270], [0.500, 0.500, 0.500], [0.500, 0.500, 0.730]],
  "ef_mev_per_atom": -524,
  "crystal_system": "tetragonal",
  "spacegroup": "P4/mmm, No. 123"
}

***

Entry 2:
{
  "formula": "LiZrAu2",
  "functional": "PBE",
  "state": "relaxed",
  "lattice": [[-1.953, -1.522, 2.382], [-0.192, -2.466, -1.734], [5.410, -4.996, 1.242]],
  "species": ["Au", "Au", "Zr", "Li"],
  "fractional_positions": [[0.000, 0.971, 0.027], [0.000, 0.529, 0.473], [0.500, 0.750, 0.750], [0.500, 0.250, 0.250]],
  "ef_mev_per_atom": -515,
  "crystal_system": "monoclinic",
  "spacegroup": "P2/m, No. 10"
}